TbPb2 PBE relaxed; formation enthalpy at 0 K = -66 meV per atom; DOS at the Fermi energy = 0.96 states/eV per atom; mass density = 10.16 g/cm³; space group = Fd-3m (227)
1.0
0.000 4.542 4.542
4.542 0.000 4.542
4.542 4.542 0.000
Tb Pb
2 4
direct
0.125 0.125 0.125 Tb
0.875 0.875 0.875 Tb
0.000 0.500 0.500 Pb
0.500 0.000 0.500 Pb
0.500 0.500 0.000 Pb
0.500 0.500 0.500 Pb